[1]
Nd5TmTe4 | PBE | relaxed

Properties
volume	33.9	Å³/atom
ΔE_f (raw)	-987	meV/atom

```
Nd5TmTe4
1.0
4.260 0.000 0.000
0.000 8.686 0.187
-2.130 -2.096 9.129
Te Nd Tm
4 5 1
Direct
0.993 0.757 0.986
0.663 0.073 0.326
0.337 0.927 0.674
0.007 0.243 0.014
0.832 0.197 0.664
0.183 0.359 0.365
0.817 0.641 0.635
0.500 0.500 0.000
0.168 0.803 0.336
0.500 0.000 0.000
```

[2]
NdTmTe2 | PBE | relaxed

Properties
excess energy over the best structure of this formula in the dataset	155	meV per atom
volume	27.7	Å³/atom
ΔE_f (raw)	-1184	meV/atom

```
NdTmTe2
1.0
3.821 0.000 0.000
0.000 5.388 0.000
0.000 0.000 5.388
Nd Te Tm
1 2 1
Direct
0.500 0.500 0.500
0.000 0.500 0.000
0.000 0.000 0.500
0.500 0.000 0.000
```

[3]
NdY2Tm3Te6 | PBE | relaxed

Properties
volume	29.3	Å³/atom
ΔE_f (raw)	-1261	meV/atom

```
NdY2Tm3Te6
1.0
-2.089 -2.036 -3.183
7.633 -3.234 -2.941
-2.091 -5.506 7.824
Nd Te Y Tm
1 6 2 3
Direct
0.500 0.000 0.000
0.333 0.415 0.666
0.999 0.261 0.998
0.001 0.739 0.002
0.672 0.080 0.345
0.667 0.585 0.334
0.328 0.920 0.655
0.837 0.673 0.673
0.163 0.327 0.327
0.500 0.500 0.000
0.837 0.169 0.675
0.163 0.831 0.325
```

Please write out number 2 again, unchanged.
NdTmTe2 | PBE | relaxed

Properties
excess energy over the best structure of this formula in the dataset	155	meV per atom
volume	27.7	Å³/atom
ΔE_f (raw)	-1184	meV/atom

```
NdTmTe2
1.0
3.821 0.000 0.000
0.000 5.388 0.000
0.000 0.000 5.388
Nd Te Tm
1 2 1
Direct
0.500 0.500 0.500
0.000 0.500 0.000
0.000 0.000 0.500
0.500 0.000 0.000
```

Q: Which formula does entry 1 have?
A: Nd5TmTe4

Copy entry 2 word for word.
NdTmTe2 | PBE | relaxed

Properties
excess energy over the best structure of this formula in the dataset	155	meV per atom
volume	27.7	Å³/atom
ΔE_f (raw)	-1184	meV/atom

```
NdTmTe2
1.0
3.821 0.000 0.000
0.000 5.388 0.000
0.000 0.000 5.388
Nd Te Tm
1 2 1
Direct
0.500 0.500 0.500
0.000 0.500 0.000
0.000 0.000 0.500
0.500 0.000 0.000
```

Q: Number 1 is which compound?
A: Nd5TmTe4